# Li2H7Rh2 | the Alexandria database | PBE-GGA | relaxed
# Crystal system = orthorhombic
# E_tot = -88.81 eV for the cell shown
data_Li2H7Rh2
_cell_length_a 5.7729
_cell_length_b 6.5199
_cell_length_c 4.2955
_cell_angle_alpha 90.00
_cell_angle_beta 90.00
_cell_angle_gamma 90.00
_symmetry_space_group_name_H-M 'C m m m'
_symmetry_Int_Tables_number 65
_symmetry_space_group_name_Hall '-C 2 2'
loop_
_atom_site_label
_atom_site_fract_x
_atom_site_fract_y
_atom_site_fract_z
Li1 0.2376 0.0000 0.0000
H1 0.0000 0.0000 0.5000
H2 0.0000 0.5000 0.2957
H3 0.2500 0.2500 0.2588
Rh1 0.0000 0.2649 0.5000